A relaxed structure of Ba2WF2, computed with PBE with a Hubbard U.

Cell and atoms, written as POSCAR:
```
Ba2WF2
1.0
-2.912 2.912 4.517
2.912 -2.912 4.517
2.912 2.912 -4.517
Ba W F
2 1 2
direct
0.250 0.750 0.500 Ba
0.750 0.250 0.500 Ba
0.000 0.000 0.000 W
0.242 0.242 0.000 F
0.758 0.758 0.000 F
```

Computed properties:
SG: I4/mmm, No. 139
Theoretical density: 5.4 g cm⁻³
Raw total energy: -4.394 eV/atom